First-principles (PBE) data for an optimized crystal structure of ZrCd2Pd8, as listed in Alexandria.

Geometry as CIF:
```
data_ZrCd2Pd8
_cell_length_a 8.243
_cell_length_b 10.953
_cell_length_c 4.306
_cell_angle_alpha 90.00
_cell_angle_beta 90.00
_cell_angle_gamma 90.00
_symmetry_space_group_name_H-M 'C m m m'
_symmetry_Int_Tables_number 65
_symmetry_space_group_name_Hall '-C 2 2'
loop_
_atom_site_label
_atom_site_type_symbol
_atom_site_fract_x
_atom_site_fract_y
_atom_site_fract_z
_atom_site_occupancy
Zr1 Zr 0.000 0.000 0.000 1
Cd1 Cd 0.000 0.374 0.500 1
Pd1 Pd 0.000 0.239 0.000 1
Pd2 Pd 0.169 0.131 0.500 1
Pd3 Pd 0.170 0.500 0.000 1
```

Calculated values
Formation energy from the elements in meV per atom: -267
Excess energy over the best structure of this formula in the dataset in eV/atom: 0.193
V in Å³/atom: 17.67
Total magnetization in μB/atom: 0.000